Entry from Alexandria: crystalline Tl3CSe at its relaxed geometry (PBE).

Values from the calculation:
Calculated volume = 126.5 Å³/cell
Formation energy (no corrections) = 0.70 eV/atom
SG = Pm-3m (221)

Cell lengths 5.0196, 5.0196, 5.0196 Å; angles 90.00, 90.00, 90.00 degrees
Element x y z (fractional)
C 0.0000 0.0000 0.0000
Tl 0.0000 0.0000 0.5000
Tl 0.0000 0.5000 0.0000
Tl 0.5000 0.0000 0.0000
Se 0.5000 0.5000 0.5000

Entry from Alexandria: crystalline TlCSe2 at its relaxed geometry (PBE).

Values from the calculation:
Calculated volume = 154.0 Å³/cell
Formation energy (no corrections) = 0.61 eV/atom
SG = R-3m (166)

Cell lengths 6.9634, 6.9634, 6.9634 Å; angles 45.06, 45.06, 45.06 degrees
Element x y z (fractional)
Tl 0.5000 0.5000 0.5000
Se 0.9067 0.9067 0.9067
Se 0.0933 0.0933 0.0933
C 0.0000 0.0000 0.0000

Entry from Alexandria: crystalline TlCSe2 at its relaxed geometry (PBE).

Values from the calculation:
Calculated volume = 82.9 Å³/cell
Formation energy (no corrections) = 1.05 eV/atom
SG = R-3m (166)

Cell lengths 9.3304, 9.3304, 9.3304 Å; angles 19.97, 19.97, 19.97 degrees
Element x y z (fractional)
C 0.5000 0.5000 0.5000
Se 0.1173 0.1173 0.1173
Se 0.8827 0.8827 0.8827
Tl 0.0000 0.0000 0.0000

Entry from Alexandria: crystalline Tl2CSe2 at its relaxed geometry (PBE).

Values from the calculation:
Calculated volume = 153.8 Å³/cell
Formation energy (no corrections) = 0.52 eV/atom
SG = I4/mmm (139)

Cell lengths 6.7050, 6.7050, 5.8461 Å; angles 55.01, 55.01, 90.00 degrees
Element x y z (fractional)
C 0.0000 0.0000 0.0000
Se 0.7425 0.7425 0.5151
Se 0.2576 0.2576 0.4849
Tl 0.7500 0.2500 0.5000
Tl 0.2500 0.7500 0.5000

Entry from Alexandria: crystalline TlWC2Se at its relaxed geometry (PBE).

Values from the calculation:
Calculated volume = 98.9 Å³/cell
Formation energy (no corrections) = 1.47 eV/atom
SG = P4/mmm (123)

Cell lengths 4.0556, 6.0112, 4.0556 Å; angles 90.00, 90.00, 90.00 degrees
Element x y z (fractional)
Tl 0.0000 0.5000 0.0000
W 0.0000 0.0000 0.0000
C 0.0000 0.0000 0.5000
C 0.5000 0.0000 0.0000
Se 0.5000 0.5000 0.5000

Entry from Alexandria: crystalline Zr2TlCSe at its relaxed geometry (PBE).

Values from the calculation:
Calculated volume = 102.9 Å³/cell
Formation energy (no corrections) = 0.18 eV/atom
SG = P4/mmm (123)

Cell lengths 4.6010, 4.8597, 4.6010 Å; angles 90.00, 90.00, 90.00 degrees
Element x y z (fractional)
C 0.0000 0.0000 0.0000
Se 0.5000 0.5000 0.5000
Zr 0.5000 0.0000 0.0000
Zr 0.0000 0.0000 0.5000
Tl 0.0000 0.5000 0.0000

Entry from Alexandria: crystalline ZrTlCSe2 at its relaxed geometry (PBE).

Values from the calculation:
Calculated volume = 105.1 Å³/cell
Formation energy (no corrections) = 0.48 eV/atom
SG = P4/mmm (123)

Cell lengths 4.8824, 4.4078, 4.8824 Å; angles 90.00, 90.00, 90.00 degrees
Element x y z (fractional)
Se 0.0000 0.0000 0.5000
Se 0.5000 0.0000 0.0000
Zr 0.0000 0.5000 0.0000
Tl 0.5000 0.5000 0.5000
C 0.0000 0.0000 0.0000

Entry from Alexandria: crystalline Tm2C2Se at its relaxed geometry (PBE).

Values from the calculation:
Calculated volume = 175.2 Å³/cell
Formation energy (no corrections) = -0.88 eV/atom
SG = C2/c (15)

Cell lengths 3.9630, 6.7863, 6.9759 Å; angles 102.49, 106.50, 90.00 degrees
Element x y z (fractional)
C 0.3511 0.0365 0.4535
C 0.1024 0.5365 0.4535
C 0.6489 0.9635 0.5465
C 0.8976 0.4635 0.5465
Tm 0.8209 0.1381 0.2910
Tm 0.1791 0.8619 0.7090
Tm 0.4701 0.6381 0.2910
Tm 0.5299 0.3619 0.7090
Se 0.2103 0.2500 0.0000
Se 0.7897 0.7500 0.0000

Entry from Alexandria: crystalline Tm6C3Se at its relaxed geometry (PBE).

Values from the calculation:
Calculated volume = 411.3 Å³/cell
Formation energy (no corrections) = -0.62 eV/atom
SG = P2_1/m (11)

Cell lengths 3.5873, 12.6288, 9.9682 Å; angles 114.39, 90.00, 90.00 degrees
Element x y z (fractional)
Tm 0.7500 0.7206 0.2427
Tm 0.7500 0.9203 0.0582
Tm 0.7500 0.4060 0.5845
Tm 0.2500 0.2794 0.7573
Tm 0.7500 0.1159 0.4283
Tm 0.2500 0.2531 0.2611
Tm 0.2500 0.5940 0.4155
Tm 0.2500 0.5671 0.9139
Tm 0.2500 0.8841 0.5717
Tm 0.7500 0.4329 0.0861
Tm 0.2500 0.0797 0.9418
Tm 0.7500 0.7469 0.7389
C 0.7500 0.1224 0.1300
C 0.2500 0.8776 0.8700
C 0.7500 0.4220 0.8361
C 0.7500 0.7437 0.4977
C 0.2500 0.2563 0.5023
C 0.2500 0.5780 0.1639
Se 0.7500 0.0831 0.7023
Se 0.2500 0.9169 0.2977

Entry from Alexandria: crystalline Tm6C2Se at its relaxed geometry (PBE).

Values from the calculation:
Calculated volume = 210.7 Å³/cell
Formation energy (no corrections) = -0.57 eV/atom
SG = C2/m (12)

Cell lengths 3.6286, 7.5588, 8.0594 Å; angles 101.66, 103.01, 90.00 degrees
Element x y z (fractional)
C 0.1693 0.3388 0.3386
C 0.8307 0.6612 0.6614
Tm 0.3299 0.4353 0.6599
Tm 0.0137 0.2791 0.0273
Tm 0.9863 0.7209 0.9727
Tm 0.6793 0.1270 0.3586
Tm 0.3207 0.8730 0.6414
Tm 0.6701 0.5647 0.3401
Se 0.5000 0.0000 0.0000

Entry from Alexandria: crystalline Tm5CSe5 at its relaxed geometry (PBE).

Values from the calculation:
Calculated volume = 258.1 Å³/cell
Formation energy (no corrections) = -1.58 eV/atom
SG = C2/m (12)

Cell lengths 5.5766, 6.8507, 7.8159 Å; angles 107.16, 90.00, 114.02 degrees
Element x y z (fractional)
Tm 0.8519 0.7038 0.6981
Tm 0.5000 0.0000 0.0000
Tm 0.1481 0.2962 0.3019
Tm 0.8530 0.7061 0.1519
Tm 0.1470 0.2939 0.8481
Se 0.3352 0.6704 0.1736
Se 0.0000 0.0000 0.5000
Se 0.3234 0.6468 0.6672
Se 0.6766 0.3532 0.3328
Se 0.6648 0.3296 0.8264
C 0.0000 0.0000 0.0000

Entry from Alexandria: crystalline Tm4CSe at its relaxed geometry (PBE).

Values from the calculation:
Calculated volume = 289.9 Å³/cell
Formation energy (no corrections) = -0.71 eV/atom
SG = C2/c (15)

Cell lengths 6.3564, 6.6438, 8.1740 Å; angles 106.49, 105.12, 108.37 degrees
Element x y z (fractional)
Tm 0.9421 0.1533 0.8815
Tm 0.4394 0.7282 0.8815
Tm 0.2824 0.0152 0.6235
Tm 0.8411 0.6084 0.6235
Tm 0.5606 0.2718 0.1185
Tm 0.7176 0.9848 0.3765
Tm 0.0579 0.8467 0.1185
Tm 0.1589 0.3916 0.3765
Se 0.3224 0.5724 0.1447
Se 0.6776 0.4276 0.8553
C 0.1878 0.9378 0.8756
C 0.8122 0.0622 0.1244